[1]
Computed, not measured: TaTlPt after structural relaxation at the PBE-GGA level of DFT.

abc: 3.053 3.053 12.264
angles: 90.00 90.00 90.00
Space group I4mm (No. 107)
Symmetry-distinct sites (fractional):
Ta  0.000  0.000  0.000 [2 per cell]
Tl  0.000  0.000  0.318 [2 per cell]
Pt  0.000  0.000  0.638 [2 per cell]

Results
Formation enthalpy at 0 K ... 0.002 eV per atom
Size of the total moment ... 0.0000 μB per atom

=====

[2]
Computed, not measured: LaDyCdGa after structural relaxation at the PBE-GGA level of DFT.

abc: 3.675 3.675 7.811
angles: 90.00 90.00 90.00
Space group P4mm (No. 99)
Symmetry-distinct sites (fractional):
La  0.000  0.000  0.000 [1 per cell]
Dy  0.000  0.000  0.462 [1 per cell]
Cd  0.500  0.500  0.706 [1 per cell]
Ga  0.500  0.500  0.250 [1 per cell]

Results
Formation enthalpy at 0 K ... -0.459 eV per atom
Size of the total moment ... 0.0000 μB per atom
Polymorph energy (0 for the lowest one) ... 0.0 meV per atom